No. 1
The following is a DFT calculation (GGA-PBE) of a relaxed Tb7TmSc12 crystal.

Cell and atoms, written as POSCAR:
```
Tb7TmSc12
1.0
8.0128 1.1617 1.7436
-1.1122 8.0198 1.7436
-1.1122 -1.4798 8.0727
Tb Sc Tm
7 12 1
direct
0.3950 0.0586 0.1613
0.5000 0.5000 0.5000
0.6050 0.9414 0.8387
0.0586 0.1613 0.3950
0.9414 0.8387 0.6050
0.1613 0.3950 0.0586
0.8387 0.6050 0.9414
0.7265 0.2738 0.1488
0.3748 0.8689 0.5057
0.2735 0.7262 0.8512
0.6252 0.1311 0.4943
0.1311 0.4943 0.6252
0.1488 0.7265 0.2738
0.7262 0.8512 0.2735
0.5057 0.3748 0.8689
0.8689 0.5057 0.3748
0.2738 0.1488 0.7265
0.8512 0.2735 0.7262
0.4943 0.6252 0.1311
0.0000 0.0000 0.0000
```

- Formation energy from the elements: 22 kJ/mol of atoms

No. 2
The following is a DFT calculation (GGA-PBE) of a relaxed Ho4Tm9Tl11 crystal.

Cell and atoms, written as POSCAR:
```
Ho4Tm9Tl11
1.0
3.5455 0.0000 0.0000
0.0000 12.9762 -5.1141
0.0000 0.3968 13.9419
Tl Ho Tm
11 4 9
direct
0.0000 0.0500 0.4096
0.0000 0.6234 0.3766
0.0000 0.3766 0.6234
0.0000 0.9500 0.5904
0.0000 0.0000 0.0000
0.0000 0.8133 0.1867
0.0000 0.2117 0.2117
0.0000 0.7883 0.7883
0.0000 0.5904 0.9500
0.0000 0.1867 0.8133
0.0000 0.4096 0.0500
0.5000 0.2520 0.4142
0.5000 0.4142 0.2520
0.5000 0.7480 0.5858
0.5000 0.5858 0.7480
0.5000 0.9848 0.7968
0.5000 0.0152 0.2032
0.5000 0.5000 0.5000
0.5000 0.7968 0.9848
0.5000 0.6139 0.1595
0.5000 0.3861 0.8405
0.5000 0.8405 0.3861
0.5000 0.1595 0.6139
0.5000 0.2032 0.0152
```

- Formation energy from the elements: -22 kJ/mol of atoms

No. 3
The following is a DFT calculation (GGA-PBE) of a relaxed ZnCd2CuTc crystal.

Cell and atoms, written as POSCAR:
```
ZnCd2CuTc
1.0
-3.3359 -3.2409 2.4376
-0.5525 -2.5148 -4.0998
4.0107 -3.1031 1.3630
Cu Cd Zn Tc
1 2 1 1
direct
0.5000 0.5000 0.5000
0.0000 0.0000 0.5000
0.5000 0.0000 0.0000
0.0000 0.5000 0.0000
0.0000 0.0000 0.0000
```

- Formation energy from the elements: 110 kJ/mol of atoms

No. 4
The following is a DFT calculation (GGA-PBE) of a relaxed BaCo2Pb crystal.

Cell and atoms, written as POSCAR:
```
BaCo2Pb
1.0
4.9585 0.0000 0.0000
0.0000 4.9585 0.0000
2.4793 2.4793 9.0186
Pb Ba Co
2 2 4
direct
0.7500 0.2500 0.5000
0.0000 0.0000 0.0000
0.5000 0.5000 0.0000
0.2500 0.7500 0.5000
0.3750 0.1253 0.7500
0.8753 0.6250 0.2500
0.8750 0.1247 0.7500
0.8747 0.1250 0.2500
```

- Formation energy from the elements: 41 kJ/mol of atoms
- Polymorph energy (0 for the lowest one): 327 meV per atom

Copy entry 4 word for word.
The following is a DFT calculation (GGA-PBE) of a relaxed BaCo2Pb crystal.

Cell and atoms, written as POSCAR:
```
BaCo2Pb
1.0
4.9585 0.0000 0.0000
0.0000 4.9585 0.0000
2.4793 2.4793 9.0186
Pb Ba Co
2 2 4
direct
0.7500 0.2500 0.5000
0.0000 0.0000 0.0000
0.5000 0.5000 0.0000
0.2500 0.7500 0.5000
0.3750 0.1253 0.7500
0.8753 0.6250 0.2500
0.8750 0.1247 0.7500
0.8747 0.1250 0.2500
```

- Formation energy from the elements: 41 kJ/mol of atoms
- Polymorph energy (0 for the lowest one): 327 meV per atom